Material: TlPd3Pb6
Method: DFT, PBE
State: optimized geometry

Unit cell a=8.765 b=4.513 c=13.865 alpha=90.00 beta=96.77 gamma=90.00
Atoms (fractional coordinates):
Tl1 0.228 0.250 0.211
Tl2 0.772 0.750 0.789
Pd1 0.027 0.750 0.665
Pd2 0.275 0.250 0.973
Pd3 0.407 0.250 0.513
Pd4 0.593 0.750 0.487
Pd5 0.725 0.750 0.027
Pd6 0.973 0.250 0.335
Pb1 0.101 0.250 0.790
Pb2 0.110 0.250 0.553
Pb3 0.130 0.750 0.039
Pb4 0.284 0.750 0.388
Pb5 0.387 0.750 0.652
Pb6 0.438 0.750 0.903
Pb7 0.562 0.250 0.097
Pb8 0.613 0.250 0.348
Pb9 0.716 0.250 0.612
Pb10 0.870 0.250 0.961
Pb11 0.890 0.750 0.447
Pb12 0.899 0.750 0.210

As for the volume: 27.23 Å³/atom. Its crystal system is monoclinic. The calculation puts the density of states at the Fermi level at 0.426 states/eV per atom. Its uncorrected energy is -4.118 eV/atom.


Material: ZrGe2Te
Method: DFT, PBE
State: optimized geometry

Unit cell a=7.755 b=7.755 c=7.755 alpha=131.93 beta=131.93 gamma=70.34
Atoms (fractional coordinates):
Zr1 0.000 0.000 0.000
Zr2 0.750 0.250 0.500
Ge1 0.109 0.625 0.984
Ge2 0.375 0.359 0.484
Ge3 0.641 0.125 0.016
Ge4 0.875 0.891 0.516
Te1 0.250 0.750 0.500
Te2 0.500 0.500 0.000

As for the volume: 31.62 Å³/atom. Its crystal system is tetragonal. The calculation puts the density of states at the Fermi level at 0.304 states/eV per atom. The energy relative to the elements, uncorrected is 0.344 eV/atom.


Material: TbPrTiN3
Method: DFT, PBE
State: optimized geometry

Unit cell a=7.332 b=3.581 c=7.765 alpha=90.00 beta=98.43 gamma=90.00
Atoms (fractional coordinates):
Tb1 0.132 0.250 0.158
Tb2 0.868 0.750 0.842
Pr1 0.330 0.750 0.828
Pr2 0.670 0.250 0.172
Ti1 0.398 0.750 0.402
Ti2 0.602 0.250 0.598
N1 0.095 0.250 0.861
N2 0.332 0.250 0.482
N3 0.386 0.750 0.152
N4 0.614 0.250 0.848
N5 0.668 0.750 0.518
N6 0.905 0.750 0.139

As for the volume: 16.80 Å³/atom. Its crystal system is monoclinic. The calculation puts the density of states at the Fermi level at 0.305 states/eV per atom. The energy relative to the elements, uncorrected is -1.292 eV/atom.


Material: Al2CdAsO6
Method: DFT, PBE
State: optimized geometry

Unit cell a=6.740 b=6.740 c=6.082 alpha=104.96 beta=104.96 gamma=98.78
Atoms (fractional coordinates):
Al1 0.055 0.207 0.170
Al2 0.207 0.055 0.670
Al3 0.793 0.945 0.330
Al4 0.945 0.793 0.830
Cd1 0.398 0.602 0.750
Cd2 0.602 0.398 0.250
As1 0.290 0.710 0.250
As2 0.710 0.290 0.750
O1 0.069 0.165 0.453
O2 0.138 0.639 0.918
O3 0.165 0.069 0.953
O4 0.280 0.458 0.302
O5 0.361 0.862 0.582
O6 0.458 0.280 0.802
O7 0.542 0.720 0.198
O8 0.639 0.138 0.418
O9 0.720 0.542 0.698
O10 0.835 0.931 0.047
O11 0.862 0.361 0.082
O12 0.931 0.835 0.547

As for the volume: 12.53 Å³/atom. Its crystal system is monoclinic. The calculation puts the density of states at the Fermi level at 0.165 states/eV per atom. The energy relative to the elements, uncorrected is -1.976 eV/atom.


Material: Li2CeMnSe4
Method: DFT, PBE
State: optimized geometry

Unit cell a=6.825 b=6.825 c=6.825 alpha=130.94 beta=130.94 gamma=71.91
Atoms (fractional coordinates):
Li1 0.000 0.000 0.000
Li2 0.750 0.250 0.500
Ce1 0.250 0.750 0.500
Mn1 0.500 0.500 0.000
Se1 0.264 0.264 0.000
Se2 0.505 0.005 0.500
Se3 0.736 0.736 0.000
Se4 0.995 0.495 0.500

As for the volume: 22.18 Å³/atom. Its crystal system is tetragonal. The calculation puts the density of states at the Fermi level at 0.474 states/eV per atom. The energy relative to the elements, uncorrected is -1.171 eV/atom.


Material: K4NpRh3S8
Method: DFT, PBE
State: optimized geometry

Unit cell a=8.402 b=8.402 c=8.402 alpha=52.70 beta=52.70 gamma=52.70
Atoms (fractional coordinates):
K1 0.000 0.000 0.000
K2 0.000 0.500 0.500
K3 0.500 0.000 0.500
K4 0.500 0.500 0.000
Np1 0.500 0.500 0.500
Rh1 0.000 0.000 0.500
Rh2 0.000 0.500 0.000
Rh3 0.500 0.000 0.000
S1 0.205 0.741 0.741
S2 0.220 0.220 0.220
S3 0.259 0.259 0.795
S4 0.259 0.795 0.259
S5 0.741 0.205 0.741
S6 0.741 0.741 0.205
S7 0.780 0.780 0.780
S8 0.795 0.259 0.259

As for the volume: 21.73 Å³/atom. Its crystal system is trigonal. The calculation puts the density of states at the Fermi level at 0.700 states/eV per atom. The energy relative to the elements, uncorrected is -0.870 eV/atom.


Material: NdSmYCd
Method: DFT, PBE
State: optimized geometry

Unit cell a=5.554 b=5.554 c=5.554 alpha=60.00 beta=60.00 gamma=60.00
Atoms (fractional coordinates):
Nd1 0.000 0.000 0.000
Sm1 0.500 0.500 0.500
Y1 0.250 0.250 0.250
Cd1 0.750 0.750 0.750

As for the volume: 30.29 Å³/atom. Its crystal system is cubic. The calculation puts the distance to the lowest polymorph of the same formula at 0.132 eV per atom. The calculation puts the density of states at the Fermi level at 1.426 states/eV per atom.


Material: NaTaSi2F
Method: DFT, PBE
State: optimized geometry

Unit cell a=5.006 b=5.006 c=4.181 alpha=90.00 beta=90.00 gamma=90.00
Atoms (fractional coordinates):
Na1 0.000 0.000 0.000
Ta1 0.500 0.500 0.500
Si1 0.000 0.500 0.500
Si2 0.500 0.000 0.500
F1 0.500 0.500 0.000

As for the volume: 20.95 Å³/atom. Its crystal system is tetragonal. The calculation puts the density of states at the Fermi level at 0.659 states/eV per atom. The energy relative to the elements, uncorrected is -0.332 eV/atom.


Material: Y2GaNi
Method: DFT, PBE
State: optimized geometry

Unit cell a=6.288 b=6.288 c=6.288 alpha=105.88 beta=105.88 gamma=116.91
Atoms (fractional coordinates):
Y1 0.089 0.625 0.964
Y2 0.375 0.339 0.464
Y3 0.661 0.125 0.036
Y4 0.875 0.911 0.536
Ga1 0.250 0.750 0.500
Ga2 0.500 0.500 0.000
Ni1 0.000 0.000 0.000
Ni2 0.750 0.250 0.500

As for the volume: 23.61 Å³/atom. Its crystal system is tetragonal. The calculation puts the density of states at the Fermi level at 1.106 states/eV per atom. Its uncorrected energy is -5.530 eV/atom.


Material: Ca3Te2
Method: DFT, PBE
State: optimized geometry

Unit cell a=8.088 b=7.720 c=9.965 alpha=52.59 beta=49.30 gamma=78.12
Atoms (fractional coordinates):
Ca1 0.000 0.000 0.000
Ca2 0.250 0.250 0.250
Ca3 0.440 0.605 0.309
Ca4 0.604 0.941 0.645
Ca5 0.605 0.440 0.646
Ca6 0.941 0.604 0.810
Te1 0.054 0.832 0.349
Te2 0.485 0.901 0.418
Te3 0.832 0.054 0.765
Te4 0.901 0.485 0.196

As for the volume: 35.54 Å³/atom. Its crystal system is orthorhombic. The calculation puts the distance to the lowest polymorph of the same formula at 0.127 eV per atom. The calculation puts the density of states at the Fermi level at 0.132 states/eV per atom. The energy relative to the elements, uncorrected is -1.107 eV/atom.


Material: Ce3Si4Au
Method: DFT, PBE
State: optimized geometry

Unit cell a=8.193 b=8.193 c=8.193 alpha=148.97 beta=138.09 gamma=53.05
Atoms (fractional coordinates):
Ce1 0.000 0.000 0.000
Ce2 0.310 0.810 0.500
Ce3 0.690 0.190 0.500
Si1 0.081 0.378 0.703
Si2 0.325 0.622 0.703
Si3 0.675 0.378 0.297
Si4 0.919 0.622 0.297
Au1 0.500 0.500 0.000

As for the volume: 23.54 Å³/atom. Its crystal system is orthorhombic. The calculation puts the density of states at the Fermi level at 1.957 states/eV per atom. The energy relative to the elements, uncorrected is -0.501 eV/atom.


Material: K4Tm3InO8
Method: DFT, PBE
State: optimized geometry

Unit cell a=7.377 b=7.377 c=7.377 alpha=54.94 beta=54.94 gamma=54.94
Atoms (fractional coordinates):
K1 0.000 0.000 0.000
K2 0.000 0.500 0.500
K3 0.500 0.000 0.500
K4 0.500 0.500 0.000
Tm1 0.000 0.000 0.500
Tm2 0.000 0.500 0.000
Tm3 0.500 0.000 0.000
In1 0.500 0.500 0.500
O1 0.227 0.227 0.227
O2 0.228 0.729 0.729
O3 0.271 0.271 0.772
O4 0.271 0.772 0.271
O5 0.729 0.228 0.729
O6 0.729 0.729 0.228
O7 0.772 0.271 0.271
O8 0.773 0.773 0.773

As for the volume: 15.65 Å³/atom. Its crystal system is trigonal. The calculation puts the density of states at the Fermi level at 0.000 states/eV per atom. The energy relative to the elements, uncorrected is -2.493 eV/atom.


- Number 6 is which compound?
  K4NpRh3S8


What did the eleventh record say?
Material: Ce3Si4Au
Method: DFT, PBE
State: optimized geometry

Unit cell a=8.193 b=8.193 c=8.193 alpha=148.97 beta=138.09 gamma=53.05
Atoms (fractional coordinates):
Ce1 0.000 0.000 0.000
Ce2 0.310 0.810 0.500
Ce3 0.690 0.190 0.500
Si1 0.081 0.378 0.703
Si2 0.325 0.622 0.703
Si3 0.675 0.378 0.297
Si4 0.919 0.622 0.297
Au1 0.500 0.500 0.000

As for the volume: 23.54 Å³/atom. Its crystal system is orthorhombic. The calculation puts the density of states at the Fermi level at 1.957 states/eV per atom. The energy relative to the elements, uncorrected is -0.501 eV/atom.